No. 1
# DyZr6Sc12, optimized geometry, DFT PBE
data_DyZr6Sc12
_cell_length_a 7.819
_cell_length_b 8.075
_cell_length_c 8.369
_cell_angle_alpha 74.62
_cell_angle_beta 82.19
_cell_angle_gamma 64.94
_symmetry_space_group_name_H-M 'P -1'
_symmetry_Int_Tables_number 2
loop_
_symmetry_equiv_pos_as_xyz
'x,y,z'
'-x,-y,-z'
loop_
_atom_site_label
_atom_site_type_symbol
_atom_site_fract_x
_atom_site_fract_y
_atom_site_fract_z
Dy1 Dy 0.000 0.000 0.000
Zr1 Zr 0.051 0.297 0.247
Zr2 Zr 0.178 0.945 0.562
Zr3 Zr 0.215 0.272 0.889
Sc1 Sc 0.093 0.651 0.388
Sc2 Sc 0.260 0.562 0.041
Sc3 Sc 0.345 0.891 0.200
Sc4 Sc 0.370 0.211 0.522
Sc5 Sc 0.414 0.528 0.681
Sc6 Sc 0.462 0.849 0.834
# Total magnetic moment (μB per atom): 0.00
# Energy relative to the lowest polymorph listed for this composition (eV per atom): 0.000

=====

No. 2
# Li2Mg4Cd2Ag, optimized geometry, DFT PBE
data_Li2Mg4Cd2Ag
_cell_length_a 4.758
_cell_length_b 5.679
_cell_length_c 7.369
_cell_angle_alpha 77.37
_cell_angle_beta 89.67
_cell_angle_gamma 65.43
_symmetry_space_group_name_H-M 'P -1'
_symmetry_Int_Tables_number 2
loop_
_symmetry_equiv_pos_as_xyz
'x,y,z'
'-x,-y,-z'
loop_
_atom_site_label
_atom_site_type_symbol
_atom_site_fract_x
_atom_site_fract_y
_atom_site_fract_z
Li1 Li 0.049 0.400 0.345
Mg1 Mg 0.154 0.192 0.001
Mg2 Mg 0.289 0.923 0.667
Cd1 Cd 0.389 0.719 0.325
Ag1 Ag 0.500 0.500 0.000
# Total magnetic moment (μB per atom): 0.00

=====

| no. | Fermi-level density of states (states/eV/cell) | formation energy from the elements (meV/atom) | electronic total energy (eV per atom) |
| --- | --- | --- | --- |
| 1 | 27.474 | 48 | -6.89 |
| 2 | 2.638 | -175 | -1.83 |